Computed, not measured: Si2SbIF at its PBEsol-relaxed geometry at the SCAN level of DFT.

Computed properties:
As for the space group: P4/mmm (123). For the uncorrected formation energy, the calculation gives 0.28 eV per atom.

abc: 5.355 5.355 4.227
angles: 90.00 90.00 90.00
Fractional coordinates of all 5 atoms:
Si 0.000 0.500 0.000
Si 0.500 0.000 0.000
Sb 0.000 0.000 0.000
I 0.500 0.500 0.500
F 0.000 0.000 0.500

Computed, not measured: BaCuSe3 at its PBEsol-relaxed geometry at the SCAN level of DFT.

Computed properties:
As for the space group: Pm-3m (221). For the uncorrected formation energy, the calculation gives 0.70 eV per atom.

abc: 6.007 6.007 6.007
angles: 90.00 90.00 90.00
Fractional coordinates of all 5 atoms:
Ba 0.000 0.000 0.000
Cu 0.500 0.500 0.500
Se 0.000 0.000 0.500
Se 0.000 0.500 0.000
Se 0.500 0.000 0.000

Computed, not measured: RbAuNF2 at its PBEsol-relaxed geometry at the SCAN level of DFT.

Computed properties:
As for the space group: P4/mmm (123). For the uncorrected formation energy, the calculation gives 0.52 eV per atom.

abc: 4.964 4.964 5.201
angles: 90.00 90.00 90.00
Fractional coordinates of all 5 atoms:
Rb 0.000 0.000 0.000
Au 0.500 0.500 0.500
N 0.000 0.000 0.500
F 0.000 0.500 0.000
F 0.500 0.000 0.000

Computed, not measured: Al2Ag at its PBEsol-relaxed geometry at the SCAN level of DFT.

Computed properties:
As for the space group: Immm (71). Its formation enthalpy at 0 K is -0.056 eV/atom.

abc: 4.500 4.500 4.500
angles: 140.09 115.82 78.31
Fractional coordinates of all 3 atoms:
Al 0.191 0.191 0.000
Al 0.809 0.809 0.000
Ag 0.500 0.000 0.500

Computed, not measured: NaSnI3 at its PBEsol-relaxed geometry at the SCAN level of DFT.

Computed properties:
As for the space group: Pm-3m (221). For the uncorrected formation energy, the calculation gives -0.27 eV per atom.

abc: 5.650 5.650 5.650
angles: 90.00 90.00 90.00
Fractional coordinates of all 5 atoms:
Na 0.000 0.000 0.000
Sn 0.500 0.500 0.500
I 0.000 0.000 0.500
I 0.000 0.500 0.000
I 0.500 0.000 0.000

Computed, not measured: PIO2 at its PBEsol-relaxed geometry at the SCAN level of DFT.

Computed properties:
As for the space group: R-3m (166). For the uncorrected formation energy, the calculation gives -0.49 eV per atom.

abc: 9.418 9.418 9.418
angles: 19.87 19.87 19.87
Fractional coordinates of all 4 atoms:
P 0.000 0.000 0.000
I 0.500 0.500 0.500
O 0.053 0.053 0.053
O 0.947 0.947 0.947

Computed, not measured: CeBeSiHO5 at its PBEsol-relaxed geometry at the SCAN level of DFT.

Computed properties:
As for the space group: P2_1/c (14). As for the total energy: -119.648 eV per formula unit.

abc: 5.792 7.265 10.103
angles: 90.00 119.72 90.00
Fractional coordinates of all 36 atoms:
Ce 0.019 0.014 0.315
Ce 0.019 0.486 0.815
Ce 0.981 0.514 0.185
Ce 0.981 0.986 0.685
Be 0.436 0.630 0.533
Be 0.436 0.870 0.033
Be 0.564 0.130 0.967
Be 0.564 0.370 0.467
Si 0.466 0.232 0.693
Si 0.466 0.268 0.193
Si 0.534 0.732 0.807
Si 0.534 0.768 0.307
H 0.076 0.675 0.508
H 0.076 0.825 0.008
H 0.924 0.175 0.992
H 0.924 0.325 0.492
O 0.134 0.690 0.432
O 0.134 0.810 0.932
O 0.216 0.680 0.713
O 0.216 0.820 0.213
O 0.272 0.074 0.575
O 0.272 0.426 0.075
O 0.363 0.248 0.319
O 0.363 0.252 0.819
O 0.458 0.088 0.090
O 0.458 0.412 0.590
O 0.542 0.588 0.410
O 0.542 0.912 0.910
O 0.637 0.748 0.181
O 0.637 0.752 0.681
O 0.728 0.574 0.925
O 0.728 0.926 0.425
O 0.784 0.180 0.787
O 0.784 0.320 0.287
O 0.866 0.190 0.068
O 0.866 0.310 0.568

Computed, not measured: K5NaTi6Se27 at its PBEsol-relaxed geometry at the SCAN level of DFT.

Computed properties:
As for the space group: P31c (159). For the uncorrected formation energy, the calculation gives -0.99 eV per atom.

abc: 13.202 13.202 13.707
angles: 90.00 90.00 120.00
Fractional coordinates of all 78 atoms:
K 0.044 0.672 0.000
K 0.328 0.372 0.000
K 0.333 0.667 0.193
K 0.333 0.667 0.832
K 0.372 0.328 0.500
K 0.628 0.956 0.000
K 0.667 0.333 0.332
K 0.667 0.333 0.693
K 0.672 0.044 0.500
K 0.956 0.628 0.500
Na 0.000 0.000 0.258
Na 0.000 0.000 0.758
Ti 0.015 0.356 0.884
Ti 0.017 0.348 0.142
Ti 0.331 0.983 0.142
Ti 0.341 0.985 0.884
Ti 0.348 0.017 0.642
Ti 0.356 0.015 0.384
Ti 0.644 0.659 0.884
Ti 0.652 0.669 0.142
Ti 0.659 0.644 0.384
Ti 0.669 0.652 0.642
Ti 0.983 0.331 0.642
Ti 0.985 0.341 0.384
Se 0.012 0.502 0.757
Se 0.071 0.199 0.892
Se 0.111 0.225 0.152
Se 0.114 0.889 0.152
Se 0.118 0.326 0.513
Se 0.127 0.929 0.892
Se 0.136 0.557 0.381
Se 0.145 0.492 0.014
Se 0.153 0.347 0.765
Se 0.167 0.377 0.268
Se 0.190 0.506 0.604
Se 0.193 0.847 0.765
Se 0.199 0.071 0.392
Se 0.209 0.882 0.513
Se 0.210 0.833 0.268
Se 0.225 0.111 0.652
Se 0.317 0.810 0.604
Se 0.326 0.118 0.013
Se 0.347 0.153 0.265
Se 0.348 0.855 0.014
Se 0.377 0.167 0.768
Se 0.421 0.864 0.381
Se 0.443 0.579 0.381
Se 0.489 0.988 0.757
Se 0.492 0.145 0.514
Se 0.494 0.683 0.604
Se 0.498 0.511 0.757
Se 0.502 0.012 0.257
Se 0.506 0.190 0.104
Se 0.508 0.652 0.014
Se 0.511 0.498 0.257
Se 0.557 0.136 0.881
Se 0.579 0.443 0.881
Se 0.623 0.790 0.268
Se 0.652 0.508 0.514
Se 0.653 0.807 0.765
Se 0.674 0.791 0.513
Se 0.683 0.494 0.104
Se 0.775 0.886 0.152
Se 0.790 0.623 0.768
Se 0.791 0.674 0.013
Se 0.801 0.873 0.892
Se 0.807 0.653 0.265
Se 0.810 0.317 0.104
Se 0.833 0.210 0.768
Se 0.847 0.193 0.265
Se 0.855 0.348 0.514
Se 0.864 0.421 0.881
Se 0.873 0.801 0.392
Se 0.882 0.209 0.013
Se 0.886 0.775 0.652
Se 0.889 0.114 0.652
Se 0.929 0.127 0.392
Se 0.988 0.489 0.257

Computed, not measured: RbBe2Ag at its PBEsol-relaxed geometry at the SCAN level of DFT.

Computed properties:
As for the space group: Fm-3m (225). Its formation enthalpy at 0 K is 1.240 eV/atom.

abc: 4.842 4.842 4.842
angles: 60.00 60.00 60.00
Fractional coordinates of all 4 atoms:
Rb 0.000 0.000 0.000
Be 0.250 0.250 0.250
Be 0.750 0.750 0.750
Ag 0.500 0.500 0.500

Computed, not measured: MgScIn2 at its PBEsol-relaxed geometry at the SCAN level of DFT.

Computed properties:
As for the space group: Pmmm (47). Its formation enthalpy at 0 K is -0.374 eV/atom.

abc: 3.196 4.322 6.313
angles: 90.00 90.00 90.00
Fractional coordinates of all 4 atoms:
Mg 0.000 0.000 0.000
Sc 0.000 0.000 0.500
In 0.500 0.500 0.253
In 0.500 0.500 0.747

Computed, not measured: Li5Pb at its PBEsol-relaxed geometry at the SCAN level of DFT.

Computed properties:
As for the space group: Cmmm (65). For the energy above the most stable polymorph in this dataset, the calculation gives 16 meV/atom. Its formation enthalpy at 0 K is -0.302 eV/atom.

abc: 5.299 5.299 4.846
angles: 90.00 90.00 125.77
Fractional coordinates of all 6 atoms:
Li 0.000 0.000 0.000
Li 0.171 0.829 0.500
Li 0.346 0.654 0.000
Li 0.654 0.346 0.000
Li 0.829 0.171 0.500
Pb 0.500 0.500 0.500

Computed, not measured: FeSi3Cl at its PBEsol-relaxed geometry at the SCAN level of DFT.

Computed properties:
As for the space group: Pm-3m (221). For the uncorrected formation energy, the calculation gives 0.11 eV per atom.

abc: 4.316 4.316 4.316
angles: 90.00 90.00 90.00
Fractional coordinates of all 5 atoms:
Fe 0.000 0.000 0.000
Si 0.000 0.000 0.500
Si 0.000 0.500 0.000
Si 0.500 0.000 0.000
Cl 0.500 0.500 0.500

Repeat the ninth record exactly.
Computed, not measured: RbBe2Ag at its PBEsol-relaxed geometry at the SCAN level of DFT.

Computed properties:
As for the space group: Fm-3m (225). Its formation enthalpy at 0 K is 1.240 eV/atom.

abc: 4.842 4.842 4.842
angles: 60.00 60.00 60.00
Fractional coordinates of all 4 atoms:
Rb 0.000 0.000 0.000
Be 0.250 0.250 0.250
Be 0.750 0.750 0.750
Ag 0.500 0.500 0.500